Compound: ZrCdCl3
Source: Alexandria via LeMat-Bulk
Functional: PBE
Structure: relaxed

Unit cell a=5.1938 b=5.1938 c=5.1938 alpha=90.00 beta=90.00 gamma=90.00
Closest atoms and distances in Å follow each position.
Sites, in units of the cell vectors:
Cl  0.0000  0.5000  0.0000  2 Cd 2.60
Cl  0.0000  0.0000  0.5000  2 Cd 2.60
Cl  0.5000  0.0000  0.0000  2 Cd 2.60
Zr  0.5000  0.5000  0.5000  12 Cl 3.67
Cd  0.0000  0.0000  0.0000  6 Cl 2.60

Summary:
The energy relative to the elements, uncorrected is -128.1 meV/atom. The value obtained for the final energy is -3.129 eV/atom. Its space group is Pm-3m, No. 221. The calculation puts the energy relative to the lowest polymorph listed for this composition at 0.924 eV per atom. The calculation puts the density of states at the Fermi level at 1.14 states/eV per atom.

Compound: Zr2CdCl2
Source: Alexandria via LeMat-Bulk
Functional: PBE
Structure: relaxed

Unit cell a=7.1651 b=7.1651 c=7.1651 alpha=146.85 beta=146.85 gamma=47.59
Closest atoms and distances in Å follow each position.
Sites, in units of the cell vectors:
Zr  0.6139  0.6139  0.0000  4 Cl 2.71, 1 Zr 2.99
Zr  0.3861  0.3861  0.0000  4 Cl 2.71, 1 Zr 2.99
Cd  0.0000  0.0000  0.0000  8 Zr 3.25
Cl  0.2500  0.7500  0.5000  4 Zr 2.71, 4 Cl 2.89
Cl  0.7500  0.2500  0.5000  4 Zr 2.71, 4 Cl 2.89

Summary:
The energy relative to the elements, uncorrected is -489.3 meV/atom. The value obtained for the final energy is -4.830 eV/atom. Its space group is I4/mmm, No. 139. The calculation puts the density of states at the Fermi level at 0.88 states/eV per atom.

Compound: ZrCd2Cl
Source: Alexandria via LeMat-Bulk
Functional: PBE
Structure: relaxed

Unit cell a=4.9491 b=4.9491 c=4.9491 alpha=60.00 beta=60.00 gamma=60.00
Closest atoms and distances in Å follow each position.
Sites, in units of the cell vectors:
Cd  0.0000  0.0000  0.0000  4 Cd 3.03, 4 Zr 3.03
Cd  0.2500  0.2500  0.2500  4 Cd 3.03, 4 Cl 3.03
Cl  0.5000  0.5000  0.5000  4 Zr 3.03, 4 Cd 3.03
Zr  0.7500  0.7500  0.7500  4 Cl 3.03, 4 Cd 3.03

Summary:
The energy relative to the elements, uncorrected is 18.8 meV/atom. The value obtained for the final energy is -3.037 eV/atom. Its space group is F-43m, No. 216. The calculation puts the energy relative to the lowest polymorph listed for this composition at 0.525 eV per atom. The calculation puts the density of states at the Fermi level at 1.08 states/eV per atom.

Compound: ZrCd2Cl
Source: Alexandria via LeMat-Bulk
Functional: PBE
Structure: relaxed

Unit cell a=3.2266 b=3.2266 c=8.6162 alpha=90.00 beta=90.00 gamma=90.00
Closest atoms and distances in Å follow each position.
Sites, in units of the cell vectors:
Cd  0.0000  0.0000  0.0020  4 Cl 3.13, 4 Zr 3.15, 4 Cd 3.23
Cd  0.0000  0.0000  0.4980  4 Cl 3.13, 4 Zr 3.15, 4 Cd 3.23
Cl  0.5000  0.5000  0.2500  8 Cd 3.13, 4 Cl 3.23
Zr  0.5000  0.5000  0.7500  8 Cd 3.15, 4 Zr 3.23

Summary:
The energy relative to the elements, uncorrected is -215.3 meV/atom. The value obtained for the final energy is -3.272 eV/atom. Its space group is P4/mmm, No. 123. The calculation puts the energy relative to the lowest polymorph listed for this composition at 0.291 eV per atom. The calculation puts the density of states at the Fermi level at 1.06 states/eV per atom.